# ZrCr3Fe

An optimized crystal structure of ZrCr3Fe (PBE, the Alexandria database).

The space group is Pm-3m (No. 221) and the conventional cell measures 4.652, 4.652 and 4.652 Å, with angles of 90.00, 90.00 and 90.00 degrees. The distinct sites, in fractional coordinates, are Zr at (0.000, 0.000, 0.000), Cr at (0.000, 0.000, 0.500) and Fe at (0.500, 0.500, 0.500).

For the density of states at the Fermi level, the calculation gives 16.76 states/eV/f.u. The calculated total energy comes out at -0.5064 Ry per atom. The value obtained for the polymorph energy (0 for the lowest one) is 1524.0 meV per atom. As for the crystal system: cubic.